VASP calculation (PBE) on crystalline Li4Hf3AgTe8 at its relaxed geometry.

Geometry as CIF:
```
data_Li4Hf3AgTe8
_chemical_formula_sum 'Li4 Hf3 Ag1 Te8'
_symmetry_space_group_name_H-M 'P 1'
_symmetry_Int_Tables_number 1
_cell_length_a 8.453
_cell_length_b 8.453
_cell_length_c 8.453
_cell_angle_alpha 58.54
_cell_angle_beta 58.54
_cell_angle_gamma 58.54
loop_
_symmetry_equiv_pos_as_xyz
'x,y,z'
loop_
_atom_site_label
_atom_site_type_symbol
_atom_site_fract_x
_atom_site_fract_y
_atom_site_fract_z
Li1 Li 0.000 0.000 0.000
Li2 Li 0.000 0.500 0.500
Li3 Li 0.500 0.000 0.500
Li4 Li 0.500 0.500 0.000
Hf1 Hf 0.000 0.000 0.500
Hf2 Hf 0.000 0.500 0.000
Hf3 Hf 0.500 0.000 0.000
Ag1 Ag 0.500 0.500 0.500
Te1 Te 0.240 0.752 0.752
Te2 Te 0.248 0.248 0.760
Te3 Te 0.248 0.760 0.248
Te4 Te 0.249 0.249 0.249
Te5 Te 0.751 0.751 0.751
Te6 Te 0.752 0.240 0.752
Te7 Te 0.752 0.752 0.240
Te8 Te 0.760 0.248 0.248
```

Values from the calculation:
- Formation energy without anion corrections: -751 meV/atom
- Space-group type: R-3m
- Total moment: 0.000 μB/f.u.


VASP calculation (PBE) on crystalline Er2MgSc3 at its relaxed geometry.

Geometry as CIF:
```
data_Er2MgSc3
_chemical_formula_sum 'Er4 Mg2 Sc6'
_symmetry_space_group_name_H-M 'P 1'
_symmetry_Int_Tables_number 1
_cell_length_a 6.805
_cell_length_b 5.316
_cell_length_c 8.888
_cell_angle_alpha 90.00
_cell_angle_beta 101.17
_cell_angle_gamma 90.00
loop_
_symmetry_equiv_pos_as_xyz
'x,y,z'
loop_
_atom_site_label
_atom_site_type_symbol
_atom_site_fract_x
_atom_site_fract_y
_atom_site_fract_z
Er1 Er 0.060 0.250 0.218
Er2 Er 0.388 0.250 0.562
Er3 Er 0.612 0.750 0.438
Er4 Er 0.940 0.750 0.782
Mg1 Mg 0.282 0.750 0.110
Mg2 Mg 0.718 0.250 0.890
Sc1 Sc 0.109 0.750 0.452
Sc2 Sc 0.225 0.250 0.894
Sc3 Sc 0.444 0.750 0.787
Sc4 Sc 0.556 0.250 0.213
Sc5 Sc 0.775 0.750 0.106
Sc6 Sc 0.891 0.250 0.548
```

Values from the calculation:
- Energy of formation: 0.02 eV/atom
- Space-group type: P2_1/m
- Total moment: 0.772 μB/f.u.


VASP calculation (PBE) on crystalline Ac2PaSn at its relaxed geometry.

Geometry as CIF:
```
data_Ac2PaSn
_chemical_formula_sum 'Ac2 Pa1 Sn1'
_symmetry_space_group_name_H-M 'P 1'
_symmetry_Int_Tables_number 1
_cell_length_a 12.767
_cell_length_b 12.767
_cell_length_c 12.767
_cell_angle_alpha 15.78
_cell_angle_beta 15.78
_cell_angle_gamma 15.78
loop_
_symmetry_equiv_pos_as_xyz
'x,y,z'
loop_
_atom_site_label
_atom_site_type_symbol
_atom_site_fract_x
_atom_site_fract_y
_atom_site_fract_z
Ac1 Ac 0.091 0.091 0.091
Ac2 Ac 0.909 0.909 0.909
Pa1 Pa 0.000 0.000 0.000
Sn1 Sn 0.500 0.500 0.500
```

Values from the calculation:
- Energy of formation: 0.32 eV/atom
- Space-group type: R-3m
- Total moment: 0.000 μB/f.u.


VASP calculation (PBE) on crystalline Si2TeAu at its relaxed geometry.

Geometry as CIF:
```
data_Si2TeAu
_chemical_formula_sum 'Si2 Te1 Au1'
_symmetry_space_group_name_H-M 'P 1'
_symmetry_Int_Tables_number 1
_cell_length_a 3.052
_cell_length_b 3.052
_cell_length_c 9.084
_cell_angle_alpha 90.00
_cell_angle_beta 90.00
_cell_angle_gamma 90.00
loop_
_symmetry_equiv_pos_as_xyz
'x,y,z'
loop_
_atom_site_label
_atom_site_type_symbol
_atom_site_fract_x
_atom_site_fract_y
_atom_site_fract_z
Si1 Si 0.000 0.000 0.191
Si2 Si 0.000 0.000 0.809
Te1 Te 0.500 0.500 0.500
Au1 Au 0.500 0.500 0.000
```

Values from the calculation:
- Formation energy without anion corrections: 465 meV/atom
- Space-group type: P4/mmm
- Total moment: 0.000 μB/f.u.


VASP calculation (PBE) on crystalline SrPu2ZnN4 at its relaxed geometry.

Geometry as CIF:
```
data_SrPu2ZnN4
_chemical_formula_sum 'Sr2 Pu4 Zn2 N8'
_symmetry_space_group_name_H-M 'P 1'
_symmetry_Int_Tables_number 1
_cell_length_a 6.078
_cell_length_b 6.078
_cell_length_c 11.622
_cell_angle_alpha 90.00
_cell_angle_beta 90.00
_cell_angle_gamma 146.23
loop_
_symmetry_equiv_pos_as_xyz
'x,y,z'
loop_
_atom_site_label
_atom_site_type_symbol
_atom_site_fract_x
_atom_site_fract_y
_atom_site_fract_z
Sr1 Sr 0.099 0.901 0.750
Sr2 Sr 0.901 0.099 0.250
Pu1 Pu 0.370 0.630 0.553
Pu2 Pu 0.370 0.630 0.947
Pu3 Pu 0.630 0.370 0.053
Pu4 Pu 0.630 0.370 0.447
Zn1 Zn 0.169 0.831 0.250
Zn2 Zn 0.831 0.169 0.750
N1 N 0.000 0.000 0.000
N2 N 0.000 0.000 0.500
N3 N 0.257 0.743 0.103
N4 N 0.257 0.743 0.397
N5 N 0.428 0.572 0.750
N6 N 0.572 0.428 0.250
N7 N 0.743 0.257 0.603
N8 N 0.743 0.257 0.897
```

Values from the calculation:
- Formation energy without anion corrections: -923 meV/atom
- Space-group type: Cmcm
- Total moment: 8.000 μB/f.u.


VASP calculation (PBE) on crystalline CsTl2WS4 at its relaxed geometry.

Geometry as CIF:
```
data_CsTl2WS4
_chemical_formula_sum 'Cs1 Tl2 W1 S4'
_symmetry_space_group_name_H-M 'P 1'
_symmetry_Int_Tables_number 1
_cell_length_a 7.136
_cell_length_b 7.043
_cell_length_c 7.962
_cell_angle_alpha 56.39
_cell_angle_beta 55.29
_cell_angle_gamma 68.32
loop_
_symmetry_equiv_pos_as_xyz
'x,y,z'
loop_
_atom_site_label
_atom_site_type_symbol
_atom_site_fract_x
_atom_site_fract_y
_atom_site_fract_z
Cs1 Cs 0.000 0.000 0.000
Tl1 Tl 0.258 0.258 0.242
Tl2 Tl 0.758 0.758 0.742
W1 W 0.500 0.500 0.500
S1 S 0.190 0.524 0.810
S2 S 0.477 0.806 0.194
S3 S 0.524 0.190 0.476
S4 S 0.806 0.477 0.523
```

Values from the calculation:
- Formation energy without anion corrections: -610 meV/atom
- Space-group type: Fmm2
- Total moment: 0.001 μB/f.u.


VASP calculation (PBE) on crystalline ZrRh3F at its relaxed geometry.

Geometry as CIF:
```
data_ZrRh3F
_chemical_formula_sum 'Zr1 Rh3 F1'
_symmetry_space_group_name_H-M 'P 1'
_symmetry_Int_Tables_number 1
_cell_length_a 4.289
_cell_length_b 4.289
_cell_length_c 4.289
_cell_angle_alpha 90.00
_cell_angle_beta 90.00
_cell_angle_gamma 90.00
loop_
_symmetry_equiv_pos_as_xyz
'x,y,z'
loop_
_atom_site_label
_atom_site_type_symbol
_atom_site_fract_x
_atom_site_fract_y
_atom_site_fract_z
Zr1 Zr 0.000 0.000 0.000
Rh1 Rh 0.000 0.500 0.500
Rh2 Rh 0.500 0.000 0.500
Rh3 Rh 0.500 0.500 0.000
F1 F 0.500 0.500 0.500
```

Values from the calculation:
- Formation energy without anion corrections: 44 meV/atom
- Space-group type: Pm-3m
- Total moment: 1.529 μB/f.u.


VASP calculation (PBE) on crystalline PrTiAl at its relaxed geometry.

Geometry as CIF:
```
data_PrTiAl
_chemical_formula_sum 'Pr2 Ti2 Al2'
_symmetry_space_group_name_H-M 'P 1'
_symmetry_Int_Tables_number 1
_cell_length_a 15.262
_cell_length_b 3.217
_cell_length_c 3.217
_cell_angle_alpha 60.12
_cell_angle_beta 90.00
_cell_angle_gamma 90.00
loop_
_symmetry_equiv_pos_as_xyz
'x,y,z'
loop_
_atom_site_label
_atom_site_type_symbol
_atom_site_fract_x
_atom_site_fract_y
_atom_site_fract_z
Pr1 Pr 0.183 0.000 0.000
Pr2 Pr 0.817 0.000 0.000
Ti1 Ti 0.360 0.336 0.336
Ti2 Ti 0.640 0.336 0.336
Al1 Al 0.000 0.334 0.334
Al2 Al 0.500 0.003 0.003
```

Values from the calculation:
- Energy of formation: 0.17 eV/atom
- Space-group type: Amm2
- Total moment: 0.001 μB/f.u.


What is the total moment in the eighth record?
0.001 μB/f.u.


Among the records above, which one has the highest total moment?
SrPu2ZnN4